Record 1
Density functional theory data (GGA-PBE) for an optimized crystal structure of KBr.

Unit cell a=4.611 b=4.611 c=8.141 alpha=90.00 beta=90.00 gamma=120.00
Atoms (fractional coordinates):
1 K 0.000 0.000 0.000
2 K 0.000 0.000 0.500
3 Br 0.333 0.667 0.750
4 Br 0.667 0.333 0.250

Values from the calculation:
* formation energy from raw total energies: -333 kJ/mol of formula units
* total magnetic moment: 0.00 Bohr magnetons per cell
* volume: 149.9 Å³/cell
* space-group type: No. 194


Record 2
Density functional theory data (GGA-PBE) for an optimized crystal structure of K2Br.

Unit cell a=16.361 b=16.361 c=16.361 alpha=165.53 beta=165.53 gamma=20.51
Atoms (fractional coordinates):
1 K 0.561 0.561 0.000
2 K 0.189 0.689 0.500
3 K 0.439 0.439 0.000
4 K 0.311 0.811 0.500
5 Br 0.000 0.000 0.000
6 Br 0.750 0.250 0.500

Values from the calculation:
* formation energy from raw total energies: -307 kJ/mol of formula units
* distance to the lowest polymorph of the same formula: 47 meV per atom
* total magnetic moment: 0.00 Bohr magnetons per cell
* volume: 273.3 Å³/cell
* space-group type: No. 141


Record 3
Density functional theory data (GGA-PBE) for an optimized crystal structure of KBr.

Unit cell a=9.083 b=9.083 c=9.083 alpha=90.00 beta=90.00 gamma=90.00
Last column: magnetic moment on the atom in μB.
Atoms (fractional coordinates):
1 K 0.250 0.500 0.000  0.00
2 K 0.750 0.500 0.000  0.00
3 K 0.500 0.000 0.250  0.00
4 K 0.500 0.000 0.750  0.00
5 K 0.000 0.250 0.500  0.00
6 K 0.000 0.750 0.500  0.00
7 Br 0.250 0.000 0.500  0.07
8 Br 0.750 0.000 0.500  0.07
9 Br 0.000 0.500 0.250  0.07
10 Br 0.000 0.500 0.750  0.07
11 Br 0.500 0.250 0.000  0.07
12 Br 0.500 0.750 0.000  0.07

Values from the calculation:
* formation energy from raw total energies: -318 kJ/mol of formula units
* total magnetic moment: 0.60 Bohr magnetons per cell
* volume: 749.3 Å³/cell
* space-group type: No. 223


Record 4
Density functional theory data (GGA-PBE) for an optimized crystal structure of KBr.

Unit cell a=4.031 b=4.031 c=4.031 alpha=90.00 beta=90.00 gamma=90.00
Atoms (fractional coordinates):
1 K 0.000 0.000 0.000
2 Br 0.500 0.500 0.500

Values from the calculation:
* formation energy from raw total energies: -324 kJ/mol of formula units
* total magnetic moment: 0.00 Bohr magnetons per cell
* volume: 65.5 Å³/cell
* space-group type: No. 221


Record 5
Density functional theory data (GGA-PBE) for an optimized crystal structure of KBr3.

Unit cell a=6.493 b=6.439 c=8.249 alpha=90.00 beta=90.00 gamma=90.00
Atoms (fractional coordinates):
1 Br 0.500 0.304 0.000
2 Br 0.000 0.696 0.500
3 Br 0.000 0.770 0.153
4 Br 0.000 0.770 0.847
5 Br 0.500 0.230 0.653
6 Br 0.500 0.230 0.347
7 K 0.000 0.270 0.000
8 K 0.500 0.730 0.500

Values from the calculation:
* formation energy from raw total energies: -331 kJ/mol of formula units
* total magnetic moment: 0.00 Bohr magnetons per cell
* volume: 344.9 Å³/cell
* space-group type: No. 59


Record 6
Density functional theory data (GGA-PBE) for an optimized crystal structure of KBr.

Unit cell a=13.885 b=13.959 c=10.870 alpha=90.00 beta=90.00 gamma=90.00
Last column: magnetic moment on the atom in μB.
Atoms (fractional coordinates):
1 K 0.000 0.838 0.000  0.00
2 K 0.000 0.162 0.000  0.00
3 K 0.250 0.912 0.250  0.00
4 K 0.250 0.588 0.250  0.00
5 K 0.000 0.338 0.500  0.00
6 K 0.000 0.662 0.500  0.00
7 K 0.250 0.412 0.750  0.00
8 K 0.250 0.088 0.750  0.00
9 K 0.500 0.838 0.500  0.00
10 K 0.500 0.162 0.500  0.00
11 K 0.750 0.912 0.750  0.00
12 K 0.750 0.588 0.750  0.00
13 K 0.500 0.338 0.000  0.00
14 K 0.500 0.662 0.000  0.00
15 K 0.750 0.412 0.250  0.00
16 K 0.750 0.088 0.250  0.00
17 Br 0.167 0.000 0.000  0.06
18 Br 0.833 0.000 0.000  0.06
19 Br 0.083 0.750 0.250  0.06
20 Br 0.417 0.750 0.250  0.06
21 Br 0.167 0.500 0.500  0.06
22 Br 0.833 0.500 0.500  0.06
23 Br 0.083 0.250 0.750  0.06
24 Br 0.417 0.250 0.750  0.06
25 Br 0.667 0.000 0.500  0.06
26 Br 0.333 0.000 0.500  0.06
27 Br 0.583 0.750 0.750  0.06
28 Br 0.917 0.750 0.750  0.06
29 Br 0.667 0.500 0.000  0.06
30 Br 0.333 0.500 0.000  0.06
31 Br 0.583 0.250 0.250  0.06
32 Br 0.917 0.250 0.250  0.06

Values from the calculation:
* formation energy from raw total energies: -315 kJ/mol of formula units
* total magnetic moment: 1.51 Bohr magnetons per cell
* volume: 2106.9 Å³/cell
* space-group type: No. 70


Record 7
Density functional theory data (GGA-PBE) for an optimized crystal structure of KBr3.

Unit cell a=5.880 b=5.880 c=10.341 alpha=73.48 beta=73.48 gamma=90.00
Atoms (fractional coordinates):
1 K 0.500 0.500 0.000
2 K 0.250 0.750 0.500
3 Br 0.692 0.125 0.250
4 Br 0.058 0.625 0.250
5 Br 0.375 0.308 0.750
6 Br 0.875 0.942 0.750
7 Br 0.000 0.000 0.000
8 Br 0.750 0.250 0.500

Values from the calculation:
* formation energy from raw total energies: -223 kJ/mol of formula units
* total magnetic moment: 0.00 Bohr magnetons per cell
* volume: 327.4 Å³/cell
* space-group type: No. 122


Record 8
Density functional theory data (GGA-PBE) for an optimized crystal structure of KBr3.

Unit cell a=6.437 b=6.437 c=7.634 alpha=90.00 beta=90.00 gamma=120.00
Atoms (fractional coordinates):
1 K 0.667 0.333 0.250
2 K 0.333 0.667 0.750
3 Br 0.833 0.167 0.750
4 Br 0.334 0.167 0.750
5 Br 0.833 0.666 0.750
6 Br 0.167 0.833 0.250
7 Br 0.666 0.833 0.250
8 Br 0.167 0.334 0.250

Values from the calculation:
* formation energy from raw total energies: -234 kJ/mol of formula units
* total magnetic moment: 0.00 Bohr magnetons per cell
* volume: 273.9 Å³/cell
* space-group type: No. 194


Record 9
Density functional theory data (GGA-PBE) for an optimized crystal structure of K3Br.

Unit cell a=6.698 b=6.698 c=6.698 alpha=60.00 beta=60.00 gamma=60.00
Atoms (fractional coordinates):
1 Br 0.000 0.000 0.000
2 K 0.250 0.250 0.250
3 K 0.500 0.500 0.500
4 K 0.750 0.750 0.750

Values from the calculation:
* formation energy from raw total energies: -199 kJ/mol of formula units
* distance to the lowest polymorph of the same formula: 309 meV per atom
* total magnetic moment: 0.00 Bohr magnetons per cell
* volume: 212.5 Å³/cell
* space-group type: No. 225


Record 10
Density functional theory data (GGA-PBE) for an optimized crystal structure of KBr3.

Unit cell a=4.295 b=4.295 c=9.109 alpha=103.64 beta=103.64 gamma=90.00
Atoms (fractional coordinates):
1 K 0.000 0.000 0.000
2 Br 0.500 0.500 0.000
3 Br 0.751 0.751 0.502
4 Br 0.249 0.249 0.498

Values from the calculation:
* formation energy from raw total energies: -248 kJ/mol of formula units
* total magnetic moment: 0.00 Bohr magnetons per cell
* volume: 158.4 Å³/cell
* space-group type: No. 139


Record 11
Density functional theory data (GGA-PBE) for an optimized crystal structure of K2Br3.

Unit cell a=9.219 b=9.219 c=9.219 alpha=31.86 beta=31.86 gamma=31.86
Last column: magnetic moment on the atom in μB.
Atoms (fractional coordinates):
1 K 0.402 0.402 0.402  0.00
2 K 0.598 0.598 0.598  0.00
3 Br 0.000 0.000 0.000  0.09
4 Br 0.792 0.792 0.792  0.34
5 Br 0.208 0.208 0.208  0.34

Values from the calculation:
* formation energy from raw total energies: -570 kJ/mol of formula units
* distance to the lowest polymorph of the same formula: 83 meV per atom
* total magnetic moment: 1.07 Bohr magnetons per cell
* volume: 193.9 Å³/cell
* space-group type: No. 166


Record 12
Density functional theory data (GGA-PBE) for an optimized crystal structure of KBr.

Unit cell a=11.174 b=11.174 c=6.602 alpha=90.00 beta=90.00 gamma=90.00
Atoms (fractional coordinates):
1 K 0.646 0.146 0.000
2 K 0.646 0.854 0.500
3 K 0.354 0.146 0.500
4 K 0.354 0.854 0.000
5 K 0.854 0.354 0.500
6 K 0.854 0.646 0.000
7 K 0.146 0.354 0.000
8 K 0.146 0.646 0.500
9 Br 0.852 0.352 0.000
10 Br 0.852 0.648 0.500
11 Br 0.148 0.352 0.500
12 Br 0.148 0.648 0.000
13 Br 0.648 0.148 0.500
14 Br 0.648 0.852 0.000
15 Br 0.352 0.148 0.000
16 Br 0.352 0.852 0.500

Values from the calculation:
* formation energy from raw total energies: -328 kJ/mol of formula units
* total magnetic moment: 0.00 Bohr magnetons per cell
* volume: 824.3 Å³/cell
* space-group type: No. 140


Copy entry 4 word for word.
Density functional theory data (GGA-PBE) for an optimized crystal structure of KBr.

Unit cell a=4.031 b=4.031 c=4.031 alpha=90.00 beta=90.00 gamma=90.00
Atoms (fractional coordinates):
1 K 0.000 0.000 0.000
2 Br 0.500 0.500 0.500

Values from the calculation:
* formation energy from raw total energies: -324 kJ/mol of formula units
* total magnetic moment: 0.00 Bohr magnetons per cell
* volume: 65.5 Å³/cell
* space-group type: No. 221


Q: Which value of total magnetic moment does entry 11 give?
A: 1.07 Bohr magnetons per cell